(1)
! CrHgRu2, optimized geometry, DFT PBE-GGA; values from VASP
&SYSTEM
  ibrav = 0, nat = 4, ntyp = 3
/
ATOMIC_SPECIES
Hg 200.59 Hg.upf
Ru 101.07 Ru.upf
Cr 52.00 Cr.upf
CELL_PARAMETERS angstrom
3.9512 0.0000 0.0000
0.0000 2.8374 0.0076
0.0000 1.7622 5.5355
ATOMIC_POSITIONS angstrom
Hg 1.9756 3.4497 4.1573
Ru 0.0000 0.3066 0.2067
Ru 0.0000 1.9932 2.5648
Cr 1.9756 1.1499 1.3858
! Formation energy from the elements, kJ per mole of atoms: 45.8
! Magnetization, μB per cell: 1.295

(2)
! Na2InRu, optimized geometry, DFT PBE-GGA; values from VASP
&SYSTEM
  ibrav = 0, nat = 8, ntyp = 3
/
ATOMIC_SPECIES
Ru 101.07 Ru.upf
Na 22.99 Na.upf
In 114.82 In.upf
CELL_PARAMETERS angstrom
8.3143 0.0000 0.0000
0.0000 8.3143 0.0000
4.1572 4.1572 2.6955
ATOMIC_POSITIONS angstrom
Ru 4.1572 8.3143 1.3477
Ru 4.1572 4.1572 0.0000
Na 2.2651 6.2358 0.6739
Na 6.0492 2.0786 0.6739
Na 10.3929 10.2064 2.0216
Na 6.2358 6.4223 2.0216
In 0.0000 0.0000 0.0000
In 8.3143 4.1572 1.3477
! Formation energy from the elements, kJ per mole of atoms: 63.5
! Magnetization, μB per cell: 1.835

(3)
! LaFeSi2, optimized geometry, DFT PBE-GGA; values from VASP
&SYSTEM
  ibrav = 0, nat = 4, ntyp = 3
/
ATOMIC_SPECIES
Si 28.09 Si.upf
La 138.91 La.upf
Fe 55.84 Fe.upf
CELL_PARAMETERS angstrom
5.2227 -0.0017 0.0000
1.7963 4.9040 0.0000
-3.5095 -2.4512 2.9919
ATOMIC_POSITIONS angstrom
Si 0.8982 2.4520 1.4959
Si 0.0000 0.0000 0.0000
La 2.6113 -0.0008 1.4959
Fe 3.5095 2.4512 0.0000
! Magnetization, μB per cell: 2.369
! Raw formation energy, eV/atom: 0.17

(4)
! LiPr2AsN, optimized geometry, DFT PBE-GGA; values from VASP
&SYSTEM
  ibrav = 0, nat = 10, ntyp = 4
/
ATOMIC_SPECIES
Li 6.94 Li.upf
Pr 140.91 Pr.upf
N 14.01 N.upf
As 74.92 As.upf
CELL_PARAMETERS angstrom
-3.2112 1.2903 -1.8705
-3.7600 -4.4906 3.3573
0.1263 6.7432 4.4349
ATOMIC_POSITIONS angstrom
Li -4.1056 0.6390 1.2839
Li -2.7393 2.9041 4.6377
Pr -5.3899 -2.3452 1.4303
Pr -1.4154 2.1140 1.8197
Pr -5.4295 1.4291 4.1019
Pr -1.4550 5.8882 4.4913
N -3.8540 2.1296 6.0170
N -2.9909 1.4135 -0.0954
As -3.3622 -0.7480 3.1876
As -3.4827 4.2910 2.7340
! Magnetization, μB per cell: 0.000
! Raw formation energy, eV/atom: -1.10

(5)
! KCa3S, optimized geometry, DFT PBE-GGA; values from VASP
&SYSTEM
  ibrav = 0, nat = 5, ntyp = 3
/
ATOMIC_SPECIES
Ca 40.08 Ca.upf
S 32.06 S.upf
K 39.10 K.upf
CELL_PARAMETERS angstrom
-3.0597 0.2051 5.6439
-3.5044 -5.1026 -1.7144
4.4288 -3.8959 2.5425
ATOMIC_POSITIONS angstrom
Ca -1.5298 0.1025 2.8219
Ca -1.7522 -2.5513 -0.8572
Ca 2.2144 -1.9480 1.2713
S -1.0677 -4.3967 3.2360
K 0.0000 0.0000 0.0000
! Magnetization, μB per cell: 0.000
! Raw formation energy, eV/atom: 0.95
! Offset from the most stable computed form, meV/atom: 1531.6

(6)
! CaYTmLu, optimized geometry, DFT PBE-GGA; values from VASP
&SYSTEM
  ibrav = 0, nat = 4, ntyp = 4
/
ATOMIC_SPECIES
Lu 174.97 Lu.upf
Y 88.91 Y.upf
Tm 168.93 Tm.upf
Ca 40.08 Ca.upf
CELL_PARAMETERS angstrom
-5.5445 1.1152 -0.6707
-2.7426 -1.8754 -4.6256
-3.8246 -4.1945 0.4623
ATOMIC_POSITIONS angstrom
Lu 0.0000 0.0000 0.0000
Y -9.0838 -3.7160 -3.6255
Tm -3.0279 -1.2387 -1.2085
Ca -6.0558 -2.4773 -2.4170
! Formation energy from the elements, kJ per mole of atoms: 16.9
! Magnetization, μB per cell: 0.000

(7)
! Lu2MgMn, optimized geometry, DFT PBE-GGA; values from VASP
&SYSTEM
  ibrav = 0, nat = 4, ntyp = 3
/
ATOMIC_SPECIES
Mn 54.94 Mn.upf
Lu 174.97 Lu.upf
Mg 24.30 Mg.upf
CELL_PARAMETERS angstrom
-4.9639 -0.8140 -0.7286
-1.7937 -4.7515 -0.1998
-2.8645 -1.7967 3.7948
ATOMIC_POSITIONS angstrom
Mn 0.0000 0.0000 0.0000
Lu -7.2166 -5.5217 2.1498
Lu -2.4055 -1.8406 0.7166
Mg -4.8111 -3.6811 1.4332
! Formation energy from the elements, kJ per mole of atoms: 9.4
! Magnetization, μB per cell: 3.369
! Offset from the most stable computed form, meV/atom: 91.5

(8)
! NbCd2InAu, optimized geometry, DFT PBE-GGA; values from VASP
&SYSTEM
  ibrav = 0, nat = 5, ntyp = 4
/
ATOMIC_SPECIES
Cd 112.41 Cd.upf
Au 196.97 Au.upf
In 114.82 In.upf
Nb 92.91 Nb.upf
CELL_PARAMETERS angstrom
-3.7531 2.7585 2.2754
-2.8196 -4.2840 0.5429
2.1805 -0.8490 4.6257
ATOMIC_POSITIONS angstrom
Cd 1.0902 -0.4245 2.3129
Cd -1.8766 1.3792 1.1377
Au 0.0000 0.0000 0.0000
In -1.4098 -2.1420 0.2714
Nb -2.1961 -1.1873 3.7220
! Formation energy from the elements, kJ per mole of atoms: 80.7
! Magnetization, μB per cell: 3.586

DFT total energy for every record listed, in sequence, given in eV per atom: -6.64, -3.01, -5.89, -5.99, -1.30, -4.19, -4.85, -2.75.